1.
Below is a relaxed Pr3Si2Cl3O7 crystal, with properties calculated at the GGA-PBEsol level.

Structure (extended XYZ):
```
30
Lattice="5.277 0.009 0.000 -2.495 7.397 0.000 0.000 0.000 12.087" Properties=species:S:1:pos:R:3 pbc="T T T"
Pr 0.403 3.478 10.830
Pr 2.435 1.503 1.457
Pr -2.124 6.794 10.603
Cl 3.083 4.124 12.007
O 1.728 1.447 11.226
O 1.704 5.161 9.433
Si 0.036 3.219 2.550
O 2.959 0.014 3.172
Cl 5.211 0.049 7.458
O 3.799 2.820 2.997
O 0.457 2.984 1.015
Cl 2.433 1.245 5.951
O -1.017 4.586 9.041
O 1.078 2.245 3.390
Cl -2.429 7.358 1.415
Si 2.746 4.187 8.594
O 1.053 5.960 5.182
Cl -0.301 3.282 5.964
O 2.319 2.681 9.098
O -0.177 7.392 9.215
Pr 4.906 0.612 4.560
Pr 2.378 3.928 4.787
O 0.463 4.726 3.055
Cl 0.349 6.162 11.994
O 4.353 1.431 10.392
O 2.325 4.422 7.058
Si 2.786 1.350 9.963
Si -0.004 6.057 3.920
O -1.571 5.976 4.348
Pr 0.347 5.903 7.500
```

Calculated values
**Space-group type**: No. 4
**Crystal system**: monoclinic
**Mass density**: 4.90 g/cm3
**E_form (uncorrected)**: -2971.0 meV/atom

2.
Below is a relaxed LiCu4Sb crystal, with properties calculated at the GGA-PBEsol level.

Structure (extended XYZ):
```
6
Lattice="-3.599 -0.666 -3.225 -3.967 -2.543 1.263 -4.270 2.281 0.604" Properties=species:S:1:pos:R:3 pbc="T T T"
Cu -6.419 -1.613 0.117
Cu -6.570 0.785 -0.210
Li -8.877 -0.697 -1.019
Cu -4.448 -0.349 -0.511
Sb 0.000 0.000 0.000
Cu -6.236 -0.680 -2.113
```

Calculated values
**Space-group type**: No. 216
**Crystal system**: cubic
**Mass density**: 7.74 g/cm3
**E_form (uncorrected)**: -121.6 meV/atom

3.
Below is a relaxed Ta2BeZn crystal, with properties calculated at the GGA-PBEsol level.

Structure (extended XYZ):
```
4
Lattice="-2.266 -1.872 -2.314 2.656 0.344 -2.879 1.654 -3.387 1.121" Properties=species:S:1:pos:R:3 pbc="T T T"
Ta 0.827 -1.694 0.560
Be -1.133 -0.936 -1.157
Zn 1.022 -2.457 -2.036
Ta 1.328 0.172 -1.440
```

Calculated values
**Space-group type**: No. 123
**E_form**: 0.051 eV per atom
**Crystal system**: tetragonal
**Mass density**: 12.53 g/cm3
**Energy above the lowest structure with this stoichiometry**: 8.3 meV/atom

4.
Below is a relaxed TmAlNi crystal, with properties calculated at the GGA-PBEsol level.

Structure (extended XYZ):
```
9
Lattice="3.839 0.000 0.000 0.000 6.765 0.000 0.000 -3.382 5.858" Properties=species:S:1:pos:R:3 pbc="T T T"
Tm 1.919 1.975 3.421
Al 0.000 0.805 1.394
Al 0.000 5.155 0.000
Tm 1.919 -1.407 2.438
Al 0.000 -2.578 4.465
Tm 1.919 2.815 0.000
Ni 1.919 0.000 0.000
Ni 0.000 3.382 1.953
Ni 0.000 0.000 3.906
```

Calculated values
**Space-group type**: No. 189
**E_form**: -0.635 eV per atom
**Crystal system**: hexagonal
**Mass density**: 8.34 g/cm3

5.
Below is a relaxed Pr2Al2Fe15 crystal, with properties calculated at the GGA-PBEsol level.

Structure (extended XYZ):
```
19
Lattice="6.316 0.001 0.001 0.851 6.258 0.001 0.851 0.743 6.214" Properties=species:S:1:pos:R:3 pbc="T T T"
Fe 0.426 0.372 3.107
Fe 5.891 2.369 2.103
Pr 2.784 2.431 2.158
Fe 4.750 1.794 0.001
Fe 0.851 4.679 1.781
Fe 2.416 0.531 4.434
Fe 4.750 0.214 1.781
Fe 0.426 3.129 0.001
Fe 2.416 4.466 0.001
Fe 0.851 2.323 4.434
Al 0.815 0.712 0.632
Fe 4.878 4.260 0.986
Fe 3.140 2.742 5.230
Fe 2.127 4.634 4.113
Fe 3.158 0.001 0.001
Fe 4.878 1.484 4.113
Al 7.203 6.291 5.584
Pr 5.234 4.572 4.058
Fe 3.140 5.519 2.103
```

Calculated values
**Space-group type**: No. 166
**E_form**: -0.009 eV per atom
**Crystal system**: trigonal
**Mass density**: 7.93 g/cm3

6.
Below is a relaxed Tc2AsPb crystal, with properties calculated at the GGA-PBEsol level.

Structure (extended XYZ):
```
4
Lattice="3.117 0.000 0.000 0.000 3.117 0.000 0.000 0.000 6.646" Properties=species:S:1:pos:R:3 pbc="T T T"
As 1.558 1.558 0.000
Pb 1.558 1.558 3.323
Tc 0.000 0.000 1.401
Tc 0.000 0.000 5.245
```

Calculated values
**Space-group type**: No. 123
**E_form**: 0.305 eV per atom
**Crystal system**: tetragonal
**Mass density**: 12.30 g/cm3
**Energy above the lowest structure with this stoichiometry**: 0.0 meV/atom

7.
Below is a relaxed TcP2Se crystal, with properties calculated at the GGA-PBEsol level.

Structure (extended XYZ):
```
4
Lattice="2.916 0.000 0.000 0.000 3.103 0.000 -1.458 -1.552 7.116" Properties=species:S:1:pos:R:3 pbc="T T T"
Tc 0.000 1.552 4.229
Se 1.458 1.552 0.770
P 1.458 0.000 3.132
P 1.458 1.552 6.101
```

Calculated values
**Space-group type**: No. 44
**Crystal system**: orthorhombic
**Mass density**: 6.16 g/cm3
**E_form (uncorrected)**: 62.8 meV/atom

8.
Below is a relaxed InAgBr2 crystal, with properties calculated at the GGA-PBEsol level.

Structure (extended XYZ):
```
4
Lattice="5.186 0.000 0.000 2.593 4.492 0.000 2.593 1.497 4.235" Properties=species:S:1:pos:R:3 pbc="T T T"
Ag 0.000 0.000 0.000
Br 7.780 4.492 3.176
Br 2.593 1.497 1.059
In 5.186 2.994 2.117
```

Calculated values
**Space-group type**: No. 225
**Crystal system**: cubic
**Mass density**: 6.44 g/cm3
**E_form (uncorrected)**: -257.8 meV/atom
**Energy above the lowest structure with this stoichiometry**: 0.0 meV/atom

9.
Below is a relaxed Al3CoIr crystal, with properties calculated at the GGA-PBEsol level.

Structure (extended XYZ):
```
5
Lattice="4.264 0.000 0.000 0.000 4.264 0.000 0.000 0.000 4.264" Properties=species:S:1:pos:R:3 pbc="T T T"
Co 0.000 0.000 0.000
Ir 2.132 2.132 2.132
Al 0.000 2.132 0.000
Al 0.000 0.000 2.132
Al 2.132 0.000 0.000
```

Calculated values
**Space-group type**: No. 221
**E_form**: 0.251 eV per atom
**Crystal system**: cubic
**Mass density**: 7.12 g/cm3
**Energy above the lowest structure with this stoichiometry**: 0.0 meV/atom

10.
Below is a relaxed Dy4Al2O9 crystal, with properties calculated at the GGA-PBEsol level.

Structure (extended XYZ):
```
60
Lattice="7.328 0.000 0.002 0.000 10.432 0.000 -3.519 0.000 10.517" Properties=species:S:1:pos:R:3 pbc="T T T"
Dy 6.398 1.154 2.280
O -0.874 0.171 8.905
O 2.652 7.952 8.090
O -0.859 2.690 4.057
O 4.683 10.261 1.614
Al -0.984 1.882 9.186
O 4.703 5.012 3.512
O 0.953 10.357 6.375
O -0.516 7.985 7.860
O 6.428 7.906 1.204
Dy 1.011 9.187 4.332
O 2.856 0.076 4.145
O 4.420 2.802 5.681
O -2.370 8.018 10.097
O 4.411 7.696 2.831
Al 0.776 3.334 3.927
Dy -0.748 6.461 9.590
Dy 2.752 6.211 3.219
Dy 4.638 4.062 7.539
O -0.611 7.630 4.838
Dy 1.057 4.221 7.300
O -0.893 5.421 7.007
Dy 0.993 9.437 8.478
Dy 2.817 0.995 2.041
Dy 0.961 3.901 0.661
O -0.919 10.349 4.131
O 6.180 2.414 0.423
Al -1.024 7.078 6.447
Dy -2.588 9.278 8.239
O 2.712 5.292 1.116
O 6.488 5.133 1.130
O 4.728 0.083 6.389
Dy 2.848 6.531 9.859
Dy -0.798 1.315 5.919
O 1.243 7.664 2.602
O -2.678 5.299 9.389
O 2.943 0.205 8.771
O 4.669 7.742 6.463
O 0.741 7.978 10.290
O -2.619 2.526 9.315
Dy 4.557 3.971 0.929
O 1.097 5.140 9.403
O 0.886 5.045 3.647
O -0.602 2.736 7.688
O 1.158 2.480 2.430
O 2.566 2.769 7.918
O 0.866 10.228 1.749
Dy 4.608 9.117 4.600
Dy -0.829 6.371 2.981
Al 4.793 8.550 1.333
Dy 2.798 1.245 6.188
Al 3.034 7.098 6.592
Al 0.736 8.570 1.188
O 2.924 5.388 6.873
O 3.068 2.454 0.230
Al 4.833 3.354 4.073
O 1.308 2.762 5.488
O 4.326 2.448 2.659
O 2.501 7.670 5.031
Al 3.074 1.862 9.331
```

Calculated values
**Space-group type**: No. 14
**Crystal system**: monoclinic
**Mass density**: 7.00 g/cm3
**E_form (uncorrected)**: -3442.0 meV/atom

Q: The lowest mass density belongs to which entry?
A: Pr3Si2Cl3O7